Ca4YCr | PBE-GGA | optimized geometry

Properties
* total moment: 3.38 μB/f.u.
* ΔH_f (0 K): 639 meV per atom
* raw total energy: -3.377 eV/atom

a = 6.7791 Å, b = 6.7791 Å, c = 6.7791 Å
α = 60.00°, β = 60.00°, γ = 60.00°
With the nearest neighbours (Å) after each atom.
Fractional positions:
1 Ca 0.1253 0.1253 0.1253  6 Ca 3.38-3.40
2 Ca 0.1253 0.1253 0.6241  6 Ca 3.38-3.40
3 Ca 0.1253 0.6241 0.1253  6 Ca 3.38-3.40
4 Ca 0.6241 0.1253 0.1253  6 Ca 3.38-3.40
5 Y 0.5000 0.5000 0.5000  12 Ca 3.97, 4 Cr 4.15
6 Cr 0.7500 0.7500 0.7500  12 Ca 3.98, 4 Y 4.15



Na2CeMg3F12 | PBE-GGA | optimized geometry

Properties
* total moment: 0.00 μB/f.u.
* E_form (uncorrected): -3.34 eV per atom
* raw total energy: -5.328 eV/atom

a = 6.7876 Å, b = 6.7876 Å, c = 6.7876 Å
α = 65.45°, β = 65.45°, γ = 65.45°
With the nearest neighbours (Å) after each atom.
Fractional positions:
1 Na 0.1325 0.1325 0.1325  3 F 2.28
2 Na 0.8675 0.8675 0.8675  3 F 2.28
3 Ce 0.5000 0.5000 0.5000  6 F 2.37
4 Mg 0.0000 0.5000 0.5000  6 F 1.95-2.03
5 Mg 0.5000 0.0000 0.5000  6 F 1.95-2.03
6 Mg 0.5000 0.5000 0.0000  6 F 1.95-2.03
7 F 0.1010 0.6400 0.6400  1 Mg 2.03
8 F 0.2397 0.2397 0.6057  2 Mg 1.95
9 F 0.2397 0.6057 0.2397  2 Mg 1.95
10 F 0.3600 0.3600 0.8990  1 Mg 2.03
11 F 0.3600 0.8990 0.3600  1 Mg 2.03
12 F 0.3943 0.7603 0.7603  2 Mg 1.95
13 F 0.6057 0.2397 0.2397  2 Mg 1.95
14 F 0.6400 0.1010 0.6400  1 Mg 2.03
15 F 0.6400 0.6400 0.1010  1 Mg 2.03
16 F 0.7603 0.3943 0.7603  2 Mg 1.95
17 F 0.7603 0.7603 0.3943  2 Mg 1.95
18 F 0.8990 0.3600 0.3600  1 Mg 2.03



Y2Al6Au21 | PBE-GGA | optimized geometry

Properties
* total moment: 0.00 μB/f.u.
* ΔH_f (0 K): -278 meV per atom
* raw total energy: -3.871 eV/atom

a = 9.1874 Å, b = 9.1874 Å, c = 9.1874 Å
α = 60.00°, β = 60.00°, γ = 60.00°
With the nearest neighbours (Å) after each atom.
Fractional positions:
1 Y 0.2500 0.2500 0.2500  4 Au 2.94
2 Y 0.7500 0.7500 0.7500  4 Au 2.94
3 Al 0.2309 0.2309 0.7691  8 Au 2.56-2.63
4 Al 0.2309 0.7691 0.2309  8 Au 2.56-2.63
5 Al 0.2309 0.7691 0.7691  8 Au 2.56-2.63
6 Al 0.7691 0.2309 0.2309  8 Au 2.56-2.63
7 Al 0.7691 0.2309 0.7691  8 Au 2.56-2.63
8 Al 0.7691 0.7691 0.2309  8 Au 2.56-2.63
9 Au 0.1192 0.1192 0.1192  3 Al 2.63
10 Au 0.1192 0.1192 0.6425  3 Al 2.63
11 Au 0.1192 0.6425 0.1192  3 Al 2.63
12 Au 0.1567 0.5000 0.5000  2 Al 2.56
13 Au 0.1567 0.5000 0.8433  2 Al 2.56
14 Au 0.1567 0.8433 0.5000  2 Al 2.56
15 Au 0.3575 0.8808 0.8808  3 Al 2.63
16 Au 0.5000 0.1567 0.5000  2 Al 2.56
17 Au 0.5000 0.1567 0.8433  2 Al 2.56
18 Au 0.5000 0.5000 0.1567  2 Al 2.56
19 Au 0.5000 0.5000 0.5000  12 Au 3.15, 6 Al 3.50
20 Au 0.5000 0.5000 0.8433  2 Al 2.56
21 Au 0.5000 0.8433 0.1567  2 Al 2.56
22 Au 0.5000 0.8433 0.5000  2 Al 2.56
23 Au 0.6425 0.1192 0.1192  3 Al 2.63
24 Au 0.8433 0.1567 0.5000  2 Al 2.56
25 Au 0.8433 0.5000 0.1567  2 Al 2.56
26 Au 0.8433 0.5000 0.5000  2 Al 2.56
27 Au 0.8808 0.3575 0.8808  3 Al 2.63
28 Au 0.8808 0.8808 0.3575  3 Al 2.63
29 Au 0.8808 0.8808 0.8808  3 Al 2.63



TbHo2Os | PBE-GGA | optimized geometry

Properties
* total moment: 0.00 μB/f.u.
* offset from the most stable computed form: 0.540 eV/f.u.
* ΔH_f (0 K): -129 meV per atom
* raw total energy: -6.383 eV/atom

a = 3.3880 Å, b = 3.3880 Å, c = 9.1952 Å
α = 90.00°, β = 90.00°, γ = 90.00°
With the nearest neighbours (Å) after each atom.
Fractional positions:
1 Tb 0.0000 0.0000 0.0000  4 Tb 3.39
2 Ho 0.5000 0.5000 0.3202  4 Os 2.91
3 Ho 0.5000 0.5000 0.6798  4 Os 2.91
4 Os 0.0000 0.0000 0.5000  8 Ho 2.91



> Which value of raw total energy does entry 4 give?

-6.383 eV/atom